A geometry-optimized LiTb2ThTe4 structure, computed with PBE.

Calculated values
The value obtained for the total moment is 0.00 Bohr magnetons per cell. The calculation puts the calculated density at 7.452 g/cm3. Its crystal system is monoclinic. The uncorrected formation energy is -1.22 eV/atom.

Lattice parameters (Å, degrees): 4.341 7.692 7.524 108.82 90.00 90.00
Fractional coordinates of all 8 atoms:
Te 0.500 0.263 0.250
Te 0.500 0.737 0.750
Te 0.000 0.740 0.245
Te 0.000 0.260 0.755
Tb 0.500 0.000 0.500
Tb 0.000 0.500 0.500
Th 0.000 0.000 0.000
Li 0.500 0.500 0.000

=====

A geometry-optimized LiTb3Th4Te8 structure, computed with PBE.

Calculated values
The value obtained for the total moment is 0.00 Bohr magnetons per cell. The calculation puts the calculated density at 8.392 g/cm3. Its crystal system is trigonal. The uncorrected formation energy is -1.15 eV/atom.

Lattice parameters (Å, degrees): 8.475 9.156 8.475 117.57 120.00 90.00
Fractional coordinates of all 16 atoms:
Tb 0.000 0.500 0.500
Tb 0.500 0.500 0.000
Tb 0.500 0.500 0.500
Te 0.746 0.738 0.492
Te 0.246 0.268 0.007
Te 0.254 0.262 0.508
Te 0.239 0.732 0.478
Te 0.754 0.732 0.993
Te 0.761 0.268 0.522
Te 0.761 0.268 0.007
Te 0.239 0.732 0.993
Th 0.500 0.000 0.500
Th 0.000 0.000 0.000
Th 0.000 0.000 0.500
Th 0.500 0.000 0.000
Li 0.000 0.500 0.000

=====

A geometry-optimized Li2TbThTe4 structure, computed with PBE.

Calculated values
The value obtained for the total moment is 0.00 Bohr magnetons per cell. The calculation puts the calculated density at 6.519 g/cm3. Its crystal system is monoclinic. The uncorrected formation energy is -1.18 eV/atom.

Lattice parameters (Å, degrees): 4.323 7.519 7.588 109.06 90.00 90.00
Fractional coordinates of all 8 atoms:
Te 0.500 0.261 0.267
Te 0.500 0.739 0.733
Te 0.000 0.250 0.739
Te 0.000 0.750 0.261
Tb 0.500 0.500 0.000
Th 0.000 0.000 0.000
Li 0.500 0.000 0.500
Li 0.000 0.500 0.500

=====

Which of these has the highest calculated density?
LiTb3Th4Te8